Entry 1:
Compound: BAsPO2
Source: Alexandria via LeMat-Bulk
Functional: PBE
Structure: optimized geometry

```
data_BAsPO2
_chemical_formula_sum 'B1 As1 P1 O2'
_cell_length_a 3.493
_cell_length_b 3.493
_cell_length_c 4.201
_cell_angle_alpha 90.00
_cell_angle_beta 90.00
_cell_angle_gamma 90.00
_space_group_name_H-M_alt 'P 1'
_space_group_IT_number 1
loop_
_space_group_symop_operation_xyz
'x,y,z'
loop_
_atom_site_label
_atom_site_type_symbol
_atom_site_fract_x
_atom_site_fract_y
_atom_site_fract_z
P1 P 0.000 0.000 0.500
As1 As 0.500 0.500 0.500
B1 B 0.000 0.000 0.000
O1 O 0.000 0.500 0.000
O2 O 0.500 0.000 0.000
```

- Energy above the lowest structure with this stoichiometry: 0 meV/atom
- Density of states at the Fermi level: 4.1 states/eV per cell
- Formation energy from raw total energies: 0.158 eV/atom

---

Entry 2:
Compound: CsTc3Au
Source: Alexandria via LeMat-Bulk
Functional: PBE
Structure: optimized geometry

```
data_CsTc3Au
_chemical_formula_sum 'Cs1 Tc3 Au1'
_cell_length_a 4.887
_cell_length_b 4.887
_cell_length_c 4.887
_cell_angle_alpha 90.00
_cell_angle_beta 90.00
_cell_angle_gamma 90.00
_space_group_name_H-M_alt 'P 1'
_space_group_IT_number 1
loop_
_space_group_symop_operation_xyz
'x,y,z'
loop_
_atom_site_label
_atom_site_type_symbol
_atom_site_fract_x
_atom_site_fract_y
_atom_site_fract_z
Cs1 Cs 0.000 0.000 0.000
Au1 Au 0.500 0.500 0.500
Tc1 Tc 0.000 0.500 0.000
Tc2 Tc 0.000 0.000 0.500
Tc3 Tc 0.500 0.000 0.000
```

- Final energy: -3.970 eV/atom
- Density of states at the Fermi level: 4.5 states/eV per cell

---

Entry 3:
Compound: RbPdI5
Source: Alexandria via LeMat-Bulk
Functional: PBE
Structure: optimized geometry

```
data_RbPdI5
_chemical_formula_sum 'Rb1 Pd1 I5'
_cell_length_a 6.838
_cell_length_b 8.442
_cell_length_c 8.442
_cell_angle_alpha 61.25
_cell_angle_beta 66.11
_cell_angle_gamma 66.11
_space_group_name_H-M_alt 'P 1'
_space_group_IT_number 1
loop_
_space_group_symop_operation_xyz
'x,y,z'
loop_
_atom_site_label
_atom_site_type_symbol
_atom_site_fract_x
_atom_site_fract_y
_atom_site_fract_z
Rb1 Rb 0.992 0.000 0.000
Pd1 Pd 0.561 0.500 0.500
I1 I 0.725 0.297 0.297
I2 I 0.946 0.500 0.500
I3 I 0.319 0.703 0.703
I4 I 0.494 0.174 0.826
I5 I 0.494 0.826 0.174
```

- Energy above the lowest structure with this stoichiometry: 112 meV/atom
- Density of states at the Fermi level: 5.1 states/eV per cell
- Formation energy from raw total energies: -0.362 eV/atom

---

Entry 4:
Compound: Ba6Na2ZnIr
Source: Alexandria via LeMat-Bulk
Functional: PBE
Structure: optimized geometry

```
data_Ba6Na2ZnIr
_chemical_formula_sum 'Ba6 Na2 Zn1 Ir1'
_cell_length_a 9.071
_cell_length_b 9.071
_cell_length_c 9.059
_cell_angle_alpha 120.00
_cell_angle_beta 120.00
_cell_angle_gamma 90.05
_space_group_name_H-M_alt 'P 1'
_space_group_IT_number 1
loop_
_space_group_symop_operation_xyz
'x,y,z'
loop_
_atom_site_label
_atom_site_type_symbol
_atom_site_fract_x
_atom_site_fract_y
_atom_site_fract_z
Ba1 Ba 0.761 0.762 0.000
Ba2 Ba 0.761 0.761 0.521
Ba3 Ba 0.239 0.239 0.000
Ba4 Ba 0.761 0.239 0.000
Ba5 Ba 0.239 0.239 0.477
Ba6 Ba 0.239 0.762 0.000
Na1 Na 0.750 0.251 0.501
Na2 Na 0.250 0.751 0.501
Zn1 Zn 0.500 0.500 0.999
Ir1 Ir 0.000 0.000 0.999
```

- Final energy: -2.523 eV/atom
- Density of states at the Fermi level: 6.8 states/eV per cell

---

Entry 5:
Compound: CdReCl2
Source: Alexandria via LeMat-Bulk
Functional: PBE
Structure: optimized geometry

```
data_CdReCl2
_chemical_formula_sum 'Cd1 Re1 Cl2'
_cell_length_a 2.969
_cell_length_b 5.770
_cell_length_c 4.493
_cell_angle_alpha 90.00
_cell_angle_beta 90.00
_cell_angle_gamma 90.00
_space_group_name_H-M_alt 'P 1'
_space_group_IT_number 1
loop_
_space_group_symop_operation_xyz
'x,y,z'
loop_
_atom_site_label
_atom_site_type_symbol
_atom_site_fract_x
_atom_site_fract_y
_atom_site_fract_z
Re1 Re 0.500 0.000 0.500
Cl1 Cl 0.000 0.000 0.000
Cl2 Cl 0.500 0.500 0.000
Cd1 Cd 0.000 0.500 0.500
```

- Energy above the lowest structure with this stoichiometry: 648 meV/atom
- Density of states at the Fermi level: 1.7 states/eV per cell
- Formation energy from raw total energies: 0.677 eV/atom

---

Entry 6:
Compound: Cr2ReBr
Source: Alexandria via LeMat-Bulk
Functional: PBE
Structure: optimized geometry

```
data_Cr2ReBr
_chemical_formula_sum 'Cr2 Re1 Br1'
_cell_length_a 2.996
_cell_length_b 2.996
_cell_length_c 7.114
_cell_angle_alpha 90.00
_cell_angle_beta 90.00
_cell_angle_gamma 90.00
_space_group_name_H-M_alt 'P 1'
_space_group_IT_number 1
loop_
_space_group_symop_operation_xyz
'x,y,z'
loop_
_atom_site_label
_atom_site_type_symbol
_atom_site_fract_x
_atom_site_fract_y
_atom_site_fract_z
Br1 Br 0.500 0.500 0.770
Cr1 Cr 0.000 0.000 0.034
Cr2 Cr 0.500 0.500 0.254
Re1 Re 0.000 0.000 0.441
```

- Energy above the lowest structure with this stoichiometry: 250 meV/atom
- Density of states at the Fermi level: 3.0 states/eV per cell
- Formation energy from raw total energies: 0.623 eV/atom

---

Entry 7:
Compound: CdRh2Pb
Source: Alexandria via LeMat-Bulk
Functional: PBE
Structure: optimized geometry

```
data_CdRh2Pb
_chemical_formula_sum 'Cd1 Rh2 Pb1'
_cell_length_a 4.495
_cell_length_b 7.265
_cell_length_c 3.513
_cell_angle_alpha 61.08
_cell_angle_beta 90.00
_cell_angle_gamma 128.25
_space_group_name_H-M_alt 'P 1'
_space_group_IT_number 1
loop_
_space_group_symop_operation_xyz
'x,y,z'
loop_
_atom_site_label
_atom_site_type_symbol
_atom_site_fract_x
_atom_site_fract_y
_atom_site_fract_z
Pb1 Pb 0.500 0.000 0.500
Rh1 Rh 0.000 0.000 0.000
Rh2 Rh 0.000 0.500 0.500
Cd1 Cd 0.500 0.500 0.000
```

- Final energy: -4.900 eV/atom
- Density of states at the Fermi level: 1.3 states/eV per cell

---

Entry 8:
Compound: CsHg11Au5
Source: Alexandria via LeMat-Bulk
Functional: PBE
Structure: optimized geometry

```
data_CsHg11Au5
_chemical_formula_sum 'Cs1 Hg11 Au5'
_cell_length_a 9.888
_cell_length_b 7.178
_cell_length_c 7.178
_cell_angle_alpha 104.67
_cell_angle_beta 100.82
_cell_angle_gamma 100.82
_space_group_name_H-M_alt 'P 1'
_space_group_IT_number 1
loop_
_space_group_symop_operation_xyz
'x,y,z'
loop_
_atom_site_label
_atom_site_type_symbol
_atom_site_fract_x
_atom_site_fract_y
_atom_site_fract_z
Cs1 Cs 0.000 0.000 0.000
Hg1 Hg 0.418 0.606 0.606
Hg2 Hg 0.582 0.394 0.394
Hg3 Hg 0.636 0.040 0.676
Hg4 Hg 0.364 0.960 0.324
Hg5 Hg 0.364 0.324 0.960
Hg6 Hg 0.636 0.676 0.040
Hg7 Hg 0.500 0.000 0.000
Hg8 Hg 0.868 0.805 0.447
Hg9 Hg 0.132 0.195 0.553
Hg10 Hg 0.132 0.553 0.195
Hg11 Hg 0.868 0.447 0.805
Au1 Au 0.778 0.135 0.383
Au2 Au 0.222 0.865 0.617
Au3 Au 0.222 0.617 0.865
Au4 Au 0.778 0.383 0.135
Au5 Au 0.000 0.500 0.500
```

- Final energy: -1.227 eV/atom
- Density of states at the Fermi level: 3.3 states/eV per cell

---

Entry 9:
Compound: RbYTe4
Source: Alexandria via LeMat-Bulk
Functional: PBE
Structure: optimized geometry

```
data_RbYTe4
_chemical_formula_sum 'Rb2 Y2 Te8'
_cell_length_a 6.871
_cell_length_b 6.871
_cell_length_c 9.239
_cell_angle_alpha 90.00
_cell_angle_beta 90.00
_cell_angle_gamma 90.00
_space_group_name_H-M_alt 'P 1'
_space_group_IT_number 1
loop_
_space_group_symop_operation_xyz
'x,y,z'
loop_
_atom_site_label
_atom_site_type_symbol
_atom_site_fract_x
_atom_site_fract_y
_atom_site_fract_z
Rb1 Rb 0.500 0.500 0.500
Rb2 Rb 0.000 0.000 0.500
Y1 Y 0.500 0.500 0.000
Y2 Y 0.000 0.000 0.000
Te1 Te 0.646 0.854 0.200
Te2 Te 0.146 0.646 0.200
Te3 Te 0.854 0.354 0.200
Te4 Te 0.646 0.146 0.800
Te5 Te 0.354 0.854 0.800
Te6 Te 0.354 0.146 0.200
Te7 Te 0.854 0.646 0.800
Te8 Te 0.146 0.354 0.800
```

- Density of states at the Fermi level: 1.3 states/eV per cell
- Formation energy from raw total energies: -0.937 eV/atom

---

Entry 10:
Compound: NaAl3Br
Source: Alexandria via LeMat-Bulk
Functional: PBE
Structure: optimized geometry

```
data_NaAl3Br
_chemical_formula_sum 'Na1 Al3 Br1'
_cell_length_a 5.445
_cell_length_b 5.445
_cell_length_c 5.445
_cell_angle_alpha 90.00
_cell_angle_beta 90.00
_cell_angle_gamma 90.00
_space_group_name_H-M_alt 'P 1'
_space_group_IT_number 1
loop_
_space_group_symop_operation_xyz
'x,y,z'
loop_
_atom_site_label
_atom_site_type_symbol
_atom_site_fract_x
_atom_site_fract_y
_atom_site_fract_z
Na1 Na 0.000 0.000 0.000
Al1 Al 0.000 0.500 0.000
Al2 Al 0.000 0.000 0.500
Al3 Al 0.500 0.000 0.000
Br1 Br 0.500 0.500 0.500
```

- Energy above the lowest structure with this stoichiometry: 205 meV/atom
- Density of states at the Fermi level: 3.3 states/eV per cell
- Formation energy from raw total energies: 0.852 eV/atom

---

Entry 11:
Compound: Pr2Nd6Er3Mg
Source: Alexandria via LeMat-Bulk
Functional: PBE
Structure: optimized geometry

```
data_Pr2Nd6Er3Mg
_chemical_formula_sum 'Pr2 Nd6 Er3 Mg1'
_cell_length_a 6.257
_cell_length_b 6.257
_cell_length_c 11.914
_cell_angle_alpha 95.04
_cell_angle_beta 95.04
_cell_angle_gamma 120.04
_space_group_name_H-M_alt 'P 1'
_space_group_IT_number 1
loop_
_space_group_symop_operation_xyz
'x,y,z'
loop_
_atom_site_label
_atom_site_type_symbol
_atom_site_fract_x
_atom_site_fract_y
_atom_site_fract_z
Pr1 Pr 0.333 0.667 0.000
Pr2 Pr 0.667 0.333 0.000
Nd1 Nd 0.916 0.586 0.746
Nd2 Nd 0.753 0.753 0.255
Nd3 Nd 0.084 0.414 0.254
Nd4 Nd 0.586 0.916 0.746
Nd5 Nd 0.247 0.247 0.745
Nd6 Nd 0.414 0.084 0.254
Er1 Er 0.166 0.834 0.500
Er2 Er 0.834 0.166 0.500
Er3 Er 0.500 0.500 0.500
Mg1 Mg 0.000 0.000 0.000
```

- Final energy: -4.444 eV/atom
- Density of states at the Fermi level: 12.9 states/eV per cell

---

Entry 12:
Compound: LaRe2Se
Source: Alexandria via LeMat-Bulk
Functional: PBE
Structure: optimized geometry

```
data_LaRe2Se
_chemical_formula_sum 'La1 Re2 Se1'
_cell_length_a 5.402
_cell_length_b 5.402
_cell_length_c 3.088
_cell_angle_alpha 90.00
_cell_angle_beta 90.00
_cell_angle_gamma 118.95
_space_group_name_H-M_alt 'P 1'
_space_group_IT_number 1
loop_
_space_group_symop_operation_xyz
'x,y,z'
loop_
_atom_site_label
_atom_site_type_symbol
_atom_site_fract_x
_atom_site_fract_y
_atom_site_fract_z
La1 La 0.000 0.500 0.500
Re1 Re 0.000 0.000 0.000
Re2 Re 0.500 0.500 0.000
Se1 Se 0.500 0.000 0.500
```

- Density of states at the Fermi level: 4.7 states/eV per cell
- Formation energy from raw total energies: 0.819 eV/atom